Record 1
A plane-wave DFT calculation with GGA-PBE was carried out for a geometry-optimized La2NiIr structure.

## Properties
Space group: No. 99
Crystal system: tetragonal
Size of the total moment: 0.00 μB/f.u.
DFT formation energy: -0.415 eV per atom

Unit cell a=4.161 b=4.161 c=5.838 alpha=90.00 beta=90.00 gamma=90.00
Fractional positions:
La (0.000, 0.000, 0.000)
La (0.500, 0.500, 0.500)
Ni (0.000, 0.000, 0.500)
Ir (0.500, 0.500, 0.000)

=====

Record 2
A plane-wave DFT calculation with GGA-PBE was carried out for a geometry-optimized LaNiIr2 structure.

## Properties
Space group: No. 119
Crystal system: tetragonal
Size of the total moment: 0.12 μB/f.u.
DFT formation energy: 0.024 eV per atom

Unit cell a=4.164 b=4.164 c=8.035 alpha=90.00 beta=90.00 gamma=90.00
Fractional positions:
La (0.000, 0.000, 0.000)
La (0.500, 0.500, 0.500)
Ni (0.000, 0.500, 0.750)
Ni (0.500, 0.000, 0.250)
Ir (0.000, 0.000, 0.500)
Ir (0.000, 0.500, 0.250)
Ir (0.500, 0.000, 0.750)
Ir (0.500, 0.500, 0.000)

=====

Record 3
A plane-wave DFT calculation with GGA-PBE was carried out for a geometry-optimized La2NiIr structure.

## Properties
Space group: No. 12
Crystal system: monoclinic
Size of the total moment: 0.00 μB/f.u.
DFT formation energy: -0.418 eV per atom

Unit cell a=7.273 b=4.208 c=7.074 alpha=90.00 beta=110.04 gamma=90.00
Fractional positions:
La (0.248, 0.000, 0.244)
La (0.252, 0.500, 0.756)
La (0.748, 0.500, 0.244)
La (0.752, 0.000, 0.756)
Ni (0.000, 0.000, 0.500)
Ni (0.500, 0.500, 0.500)
Ir (0.000, 0.500, 0.000)
Ir (0.500, 0.000, 0.000)

=====

Record 4
A plane-wave DFT calculation with GGA-PBE was carried out for a geometry-optimized LaNiIr structure.

## Properties
Space group: No. 8
Crystal system: monoclinic
Size of the total moment: 0.00 μB/f.u.
DFT formation energy: -0.355 eV per atom

Unit cell a=10.344 b=4.322 c=6.030 alpha=90.00 beta=108.95 gamma=90.00
Fractional positions:
La (0.000, 0.000, 0.000)
La (0.173, 0.500, 0.526)
La (0.500, 0.500, 0.000)
La (0.673, 0.000, 0.526)
Ni (0.212, 0.000, 0.865)
Ni (0.354, 0.000, 0.280)
Ni (0.712, 0.500, 0.865)
Ni (0.854, 0.500, 0.280)
Ir (0.250, 0.500, 0.093)
Ir (0.473, 0.500, 0.488)
Ir (0.750, 0.000, 0.093)
Ir (0.973, 0.000, 0.488)

=====

Record 5
A plane-wave DFT calculation with GGA-PBE was carried out for a geometry-optimized LaNiIr structure.

## Properties
Space group: No. 12
Crystal system: monoclinic
Size of the total moment: 0.00 μB/f.u.
DFT formation energy: -0.488 eV per atom

Unit cell a=9.800 b=4.281 c=5.523 alpha=90.00 beta=97.37 gamma=90.00
Fractional positions:
La (0.199, 0.000, 0.239)
La (0.301, 0.500, 0.761)
La (0.699, 0.500, 0.239)
La (0.801, 0.000, 0.761)
Ni (0.069, 0.000, 0.725)
Ni (0.431, 0.500, 0.275)
Ni (0.569, 0.500, 0.725)
Ni (0.931, 0.000, 0.275)
Ir (0.000, 0.500, 0.000)
Ir (0.000, 0.500, 0.500)
Ir (0.500, 0.000, 0.000)
Ir (0.500, 0.000, 0.500)

=====

Record 6
A plane-wave DFT calculation with GGA-PBE was carried out for a geometry-optimized LaNiIr2 structure.

## Properties
Space group: No. 225
Crystal system: cubic
Size of the total moment: 0.79 μB/f.u.
DFT formation energy: 0.190 eV per atom

Unit cell a=6.576 b=6.576 c=6.576 alpha=90.00 beta=90.00 gamma=90.00
Fractional positions:
La (0.000, 0.000, 0.000)
La (0.000, 0.500, 0.500)
La (0.500, 0.000, 0.500)
La (0.500, 0.500, 0.000)
Ni (0.000, 0.000, 0.500)
Ni (0.000, 0.500, 0.000)
Ni (0.500, 0.000, 0.000)
Ni (0.500, 0.500, 0.500)
Ir (0.250, 0.250, 0.250)
Ir (0.250, 0.250, 0.750)
Ir (0.250, 0.750, 0.250)
Ir (0.250, 0.750, 0.750)
Ir (0.750, 0.250, 0.250)
Ir (0.750, 0.250, 0.750)
Ir (0.750, 0.750, 0.250)
Ir (0.750, 0.750, 0.750)

=====

Record 7
A plane-wave DFT calculation with GGA-PBE was carried out for a geometry-optimized La2Ni2Ir structure.

## Properties
Space group: No. 15
Crystal system: monoclinic
Size of the total moment: 0.00 μB/f.u.
DFT formation energy: -0.469 eV per atom

Unit cell a=5.180 b=5.180 c=8.493 alpha=101.59 beta=101.59 gamma=64.67
Fractional positions:
La (0.028, 0.277, 0.154)
La (0.277, 0.028, 0.654)
La (0.723, 0.972, 0.346)
La (0.972, 0.723, 0.846)
Ni (0.254, 0.501, 0.501)
Ni (0.499, 0.746, 0.999)
Ni (0.501, 0.254, 0.001)
Ni (0.746, 0.499, 0.499)
Ir (0.352, 0.648, 0.250)
Ir (0.648, 0.352, 0.750)

=====

Record 8
A plane-wave DFT calculation with GGA-PBE was carried out for a geometry-optimized LaNiIr4 structure.

## Properties
Space group: No. 51
Crystal system: orthorhombic
Size of the total moment: 0.00 μB/f.u.
DFT formation energy: -0.089 eV per atom

Unit cell a=7.808 b=3.945 c=6.620 alpha=90.00 beta=90.00 gamma=90.00
Fractional positions:
La (0.250, 0.000, 0.123)
La (0.750, 0.000, 0.877)
Ni (0.250, 0.000, 0.726)
Ni (0.750, 0.000, 0.274)
Ir (0.000, 0.000, 0.500)
Ir (0.040, 0.500, 0.793)
Ir (0.250, 0.500, 0.474)
Ir (0.460, 0.500, 0.793)
Ir (0.500, 0.000, 0.500)
Ir (0.540, 0.500, 0.207)
Ir (0.750, 0.500, 0.526)
Ir (0.960, 0.500, 0.207)

=====

Record 9
A plane-wave DFT calculation with GGA-PBE was carried out for a geometry-optimized La2NiIr structure.

## Properties
Space group: No. 123
Crystal system: tetragonal
Size of the total moment: 0.00 μB/f.u.
DFT formation energy: -0.440 eV per atom

Unit cell a=3.588 b=3.588 c=7.136 alpha=90.00 beta=90.00 gamma=90.00
Fractional positions:
La (0.000, 0.000, 0.246)
La (0.000, 0.000, 0.754)
Ni (0.500, 0.500, 0.500)
Ir (0.500, 0.500, 0.000)

=====

Record 10
A plane-wave DFT calculation with GGA-PBE was carried out for a geometry-optimized LaNiIr structure.

## Properties
Space group: No. 216
Crystal system: cubic
Size of the total moment: 0.00 μB/f.u.
DFT formation energy: -0.100 eV per atom

Unit cell a=6.284 b=6.284 c=6.284 alpha=90.00 beta=90.00 gamma=90.00
Fractional positions:
La (0.000, 0.000, 0.000)
La (0.000, 0.500, 0.500)
La (0.500, 0.000, 0.500)
La (0.500, 0.500, 0.000)
Ni (0.250, 0.250, 0.250)
Ni (0.250, 0.750, 0.750)
Ni (0.750, 0.250, 0.750)
Ni (0.750, 0.750, 0.250)
Ir (0.000, 0.000, 0.500)
Ir (0.000, 0.500, 0.000)
Ir (0.500, 0.000, 0.000)
Ir (0.500, 0.500, 0.500)

=====

Record 11
A plane-wave DFT calculation with GGA-PBE was carried out for a geometry-optimized LaNiIr2 structure.

## Properties
Space group: No. 10
Crystal system: monoclinic
Size of the total moment: 0.00 μB/f.u.
DFT formation energy: -0.043 eV per atom

Unit cell a=3.004 b=4.499 c=5.342 alpha=90.00 beta=103.54 gamma=90.00
Fractional positions:
La (0.000, 0.000, 0.000)
Ni (0.500, 0.000, 0.500)
Ir (0.343, 0.500, 0.708)
Ir (0.657, 0.500, 0.292)

=====

Record 12
A plane-wave DFT calculation with GGA-PBE was carried out for a geometry-optimized LaNiIr structure.

## Properties
Space group: No. 216
Crystal system: cubic
Size of the total moment: 0.00 μB/f.u.
DFT formation energy: 0.428 eV per atom

Unit cell a=6.425 b=6.425 c=6.425 alpha=90.00 beta=90.00 gamma=90.00
Fractional positions:
La (0.000, 0.000, 0.000)
La (0.000, 0.500, 0.500)
La (0.500, 0.000, 0.500)
La (0.500, 0.500, 0.000)
Ni (0.250, 0.250, 0.250)
Ni (0.250, 0.750, 0.750)
Ni (0.750, 0.250, 0.750)
Ni (0.750, 0.750, 0.250)
Ir (0.250, 0.250, 0.750)
Ir (0.250, 0.750, 0.250)
Ir (0.750, 0.250, 0.250)
Ir (0.750, 0.750, 0.750)

=====

Repeat the fifth record exactly.
A plane-wave DFT calculation with GGA-PBE was carried out for a geometry-optimized LaNiIr structure.

## Properties
Space group: No. 12
Crystal system: monoclinic
Size of the total moment: 0.00 μB/f.u.
DFT formation energy: -0.488 eV per atom

Unit cell a=9.800 b=4.281 c=5.523 alpha=90.00 beta=97.37 gamma=90.00
Fractional positions:
La (0.199, 0.000, 0.239)
La (0.301, 0.500, 0.761)
La (0.699, 0.500, 0.239)
La (0.801, 0.000, 0.761)
Ni (0.069, 0.000, 0.725)
Ni (0.431, 0.500, 0.275)
Ni (0.569, 0.500, 0.725)
Ni (0.931, 0.000, 0.275)
Ir (0.000, 0.500, 0.000)
Ir (0.000, 0.500, 0.500)
Ir (0.500, 0.000, 0.000)
Ir (0.500, 0.000, 0.500)

=====

Q: DFT formation energy of number 4 (LaNiIr)?
A: -0.355 eV per atom